Record 1
# SnHRu2Se

A relaxed structure of SnHRu2Se (GGA-PBE, Alexandria).

POSCAR file:
```
SnHRu2Se
1.0
5.070 0.000 0.000
0.000 5.070 0.000
0.000 0.000 5.318
Sn H Ru Se
1 1 2 1
direct
0.000 0.000 0.000 Sn
0.500 0.500 0.500 H
0.000 0.500 0.000 Ru
0.500 0.000 0.000 Ru
0.000 0.000 0.500 Se
```

The value obtained for the volume is 27.3 Å³ per atom. The calculated total energy comes out at -3.8817 eV per atom. For the density of states at the Fermi level, the calculation gives 6.50 states/eV/cell. Its space group is P4/mmm, No. 123.

***

Record 2
# TcHRuSe2

A relaxed structure of TcHRuSe2 (GGA-PBE, Alexandria).

POSCAR file:
```
TcHRuSe2
1.0
4.819 0.000 0.000
0.000 4.819 0.000
0.000 0.000 3.334
Tc H Ru Se
1 1 1 2
direct
0.000 0.000 0.000 Tc
0.000 0.000 0.500 H
0.500 0.500 0.500 Ru
0.000 0.500 0.000 Se
0.500 0.000 0.000 Se
```

The value obtained for the volume is 15.5 Å³ per atom. The calculated total energy comes out at -5.4050 eV per atom. For the density of states at the Fermi level, the calculation gives 8.04 states/eV/cell. Its space group is P4/mmm, No. 123. The calculation puts the excess energy over the best structure of this formula in the dataset at 134 meV per atom.

***

Record 3
# TcHRuSe2

A relaxed structure of TcHRuSe2 (GGA-PBE, Alexandria).

POSCAR file:
```
TcHRuSe2
1.0
4.465 0.000 0.000
0.000 4.465 0.000
0.000 0.000 3.331
Tc H Ru Se
1 1 1 2
direct
0.000 0.000 0.000 Tc
0.000 0.000 0.500 H
0.500 0.500 0.000 Ru
0.000 0.500 0.500 Se
0.500 0.000 0.500 Se
```

The value obtained for the volume is 13.3 Å³ per atom. The calculated total energy comes out at -5.5386 eV per atom. For the density of states at the Fermi level, the calculation gives 3.87 states/eV/cell. Its space group is P4/mmm, No. 123. The calculation puts the excess energy over the best structure of this formula in the dataset at 0 meV per atom.

***

Record 4
# Tc2HRuSe

A relaxed structure of Tc2HRuSe (GGA-PBE, Alexandria).

POSCAR file:
```
Tc2HRuSe
1.0
3.779 0.000 0.000
0.000 3.779 0.000
0.000 0.000 4.453
Tc H Ru Se
2 1 1 1
direct
0.000 0.500 0.000 Tc
0.500 0.000 0.000 Tc
0.000 0.000 0.000 H
0.500 0.500 0.500 Ru
0.000 0.000 0.500 Se
```

The value obtained for the volume is 12.7 Å³ per atom. The calculated total energy comes out at -6.7614 eV per atom. For the density of states at the Fermi level, the calculation gives 6.11 states/eV/cell. Its space group is P4/mmm, No. 123.

***

Record 5
# TlHRu2Se

A relaxed structure of TlHRu2Se (GGA-PBE, Alexandria).

POSCAR file:
```
TlHRu2Se
1.0
4.537 0.000 0.000
0.000 4.537 0.000
0.000 0.000 6.416
Tl H Ru Se
1 1 2 1
direct
0.000 0.000 0.000 Tl
0.500 0.500 0.000 H
0.000 0.500 0.500 Ru
0.500 0.000 0.500 Ru
0.000 0.000 0.500 Se
```

The value obtained for the volume is 26.4 Å³ per atom. The calculated total energy comes out at -4.2347 eV per atom. For the density of states at the Fermi level, the calculation gives 2.56 states/eV/cell. Its space group is P4/mmm, No. 123. The calculation puts the excess energy over the best structure of this formula in the dataset at 656 meV per atom.

***

Record 6
# TlHRu2Se

A relaxed structure of TlHRu2Se (GGA-PBE, Alexandria).

POSCAR file:
```
TlHRu2Se
1.0
4.800 0.000 0.000
0.000 4.800 0.000
0.000 0.000 3.377
Tl H Ru Se
1 1 2 1
direct
0.000 0.000 0.000 Tl
0.500 0.500 0.000 H
0.000 0.500 0.500 Ru
0.500 0.000 0.500 Ru
0.500 0.500 0.500 Se
```

The value obtained for the volume is 15.6 Å³ per atom. The calculated total energy comes out at -4.8911 eV per atom. For the density of states at the Fermi level, the calculation gives 3.82 states/eV/cell. Its space group is P4/mmm, No. 123. The calculation puts the excess energy over the best structure of this formula in the dataset at 0 meV per atom.

***

Record 7
# Si2HRu

A relaxed structure of Si2HRu (GGA-PBE, Alexandria).

POSCAR file:
```
Si2HRu
1.0
-2.174 2.174 5.378
2.174 -2.174 5.378
2.174 2.174 -5.378
Si H Ru
4 2 2
direct
0.009 0.625 0.884 Si
0.375 0.259 0.384 Si
0.741 0.125 0.116 Si
0.875 0.991 0.616 Si
0.000 0.000 0.000 H
0.750 0.250 0.500 H
0.250 0.750 0.500 Ru
0.500 0.500 0.000 Ru
```

The value obtained for the volume is 12.7 Å³ per atom. The calculated total energy comes out at -5.4907 eV per atom. For the density of states at the Fermi level, the calculation gives 3.61 states/eV/cell. Its space group is I-42d, No. 122.

***

Record 8
# SiHRu2

A relaxed structure of SiHRu2 (GGA-PBE, Alexandria).

POSCAR file:
```
SiHRu2
1.0
1.780 1.028 5.529
-1.780 1.028 5.529
0.000 -2.055 5.529
Si H Ru
1 1 2
direct
0.000 0.000 0.000 Si
0.500 0.500 0.500 H
0.398 0.398 0.398 Ru
0.602 0.602 0.602 Ru
```

The value obtained for the volume is 15.2 Å³ per atom. The calculated total energy comes out at -6.5273 eV per atom. For the density of states at the Fermi level, the calculation gives 3.00 states/eV/cell. Its space group is R-3m, No. 166. The calculation puts the excess energy over the best structure of this formula in the dataset at 385 meV per atom.

***

> What is the calculated total energy in the sixth record?

-4.8911 eV per atom

***

> What is the calculated total energy in the first record?

-3.8817 eV per atom